Compound: CuPC
Source: Alexandria via LeMat-Bulk
Functional: GGA-PBE
Structure: relaxed

abc: 3.427 3.427 4.102
angles: 112.94 112.94 61.09
Element x y z (fractional)
Cu  0.000  0.000  0.000
P  0.556  0.556  0.662
C  0.398  0.398  0.203

Calculated values
formation energy from the elements = 0.934 eV per atom
total DFT energy (no corrections) = -0.195 Ha/atom
offset from the most stable computed form = 0.686 eV/atom
size of the total moment = 0.0000 μB/atom